A relaxed AlCrHg3 crystal, computed with PBE.

Cell lengths 5.2893, 5.2893, 5.2893 Å; angles 90.00, 90.00, 90.00 degrees
Last column: nearest neighbours and their distance in Å.
Atoms (fractional coordinates):
Al1 0.0000 0.0000 0.0000  12 Hg 3.74
Cr1 0.5000 0.5000 0.5000  6 Hg 2.64
Hg1 0.0000 0.5000 0.5000  2 Cr 2.64
Hg2 0.5000 0.0000 0.5000  2 Cr 2.64
Hg3 0.5000 0.5000 0.0000  2 Cr 2.64

Its calculated formation energy is 661 meV/atom. Its volume is 29.6 Å³ per atom. As for the mass density: 7.64 Mg/m³. As for the density of states at the Fermi level: 4.04 states/eV per cell. Its excess energy over the best structure of this formula in the dataset is 0.18 eV per formula unit.